Record 1
CuNi2Bi | PBE | relaxed

The final energy is -37.82 eV/cell. Its space group is No. 1. The calculation puts the total magnetization at 0.0 μB/cell.

```
data_CuNi2Bi
_chemical_formula_sum 'Cu2 Ni4 Bi2'
_symmetry_space_group_name_H-M 'P 1'
_symmetry_Int_Tables_number 1
_cell_length_a 4.2632
_cell_length_b 4.8123
_cell_length_c 6.5293
_cell_angle_alpha 83.95
_cell_angle_beta 71.54
_cell_angle_gamma 74.35
loop_
_symmetry_equiv_pos_as_xyz
'x,y,z'
loop_
_atom_site_label
_atom_site_fract_x
_atom_site_fract_y
_atom_site_fract_z
_atom_site_occupancy
Cu1 0.0000 0.0000 0.0000 1
Cu2 0.2491 0.8370 0.6011 1
Ni1 0.0019 0.3815 0.7024 1
Ni2 0.4432 0.9012 0.2010 1
Ni3 0.6450 0.9019 0.7861 1
Ni4 0.9258 0.7084 0.3780 1
Bi1 0.3560 0.4384 0.9833 1
Bi2 0.6466 0.2684 0.4296 1
```

=====

Record 2
Hf3TiRh2 | PBE | relaxed

The final energy is -56.09 eV/cell. Its space group is No. 123. The calculation puts the total magnetization at 0.0 μB/cell.

```
data_Hf3TiRh2
_chemical_formula_sum 'Hf3 Ti1 Rh2'
_symmetry_space_group_name_H-M 'P 1'
_symmetry_Int_Tables_number 1
_cell_length_a 3.2876
_cell_length_b 3.2876
_cell_length_c 10.0503
_cell_angle_alpha 90.00
_cell_angle_beta 90.00
_cell_angle_gamma 90.00
loop_
_symmetry_equiv_pos_as_xyz
'x,y,z'
loop_
_atom_site_label
_atom_site_fract_x
_atom_site_fract_y
_atom_site_fract_z
_atom_site_occupancy
Hf1 0.0000 0.0000 0.0000 1
Hf2 0.0000 0.0000 0.3216 1
Hf3 0.0000 0.0000 0.6784 1
Ti1 0.5000 0.5000 0.5000 1
Rh1 0.5000 0.5000 0.1544 1
Rh2 0.5000 0.5000 0.8456 1
```

=====

Record 3
CaIn2Ni | PBE | relaxed

The final energy is -27.14 eV/cell. Its space group is No. 12. The calculation puts the total magnetization at 0.0 μB/cell.

```
data_CaIn2Ni
_chemical_formula_sum 'Ca2 In4 Ni2'
_symmetry_space_group_name_H-M 'P 1'
_symmetry_Int_Tables_number 1
_cell_length_a 6.1351
_cell_length_b 6.1382
_cell_length_c 4.6738
_cell_angle_alpha 90.00
_cell_angle_beta 90.18
_cell_angle_gamma 90.00
loop_
_symmetry_equiv_pos_as_xyz
'x,y,z'
loop_
_atom_site_label
_atom_site_fract_x
_atom_site_fract_y
_atom_site_fract_z
_atom_site_occupancy
Ca1 0.0000 0.0000 0.0000 1
Ca2 0.5000 0.5000 0.0000 1
In1 0.2500 0.2500 0.5000 1
In2 0.2500 0.7500 0.5000 1
In3 0.7500 0.2500 0.5000 1
In4 0.7500 0.7500 0.5000 1
Ni1 0.0000 0.5000 0.0000 1
Ni2 0.5000 0.0000 0.0000 1
```

=====

Record 4
PrZn4Hg | PBE | relaxed

The final energy is -10.95 eV/cell. Its space group is No. 216. The calculation puts the total magnetization at 0.0 μB/cell.

```
data_PrZn4Hg
_chemical_formula_sum 'Pr1 Zn4 Hg1'
_symmetry_space_group_name_H-M 'P 1'
_symmetry_Int_Tables_number 1
_cell_length_a 5.5303
_cell_length_b 5.5303
_cell_length_c 5.5303
_cell_angle_alpha 60.00
_cell_angle_beta 60.00
_cell_angle_gamma 60.00
loop_
_symmetry_equiv_pos_as_xyz
'x,y,z'
loop_
_atom_site_label
_atom_site_fract_x
_atom_site_fract_y
_atom_site_fract_z
_atom_site_occupancy
Pr1 0.0000 0.0000 0.0000 1
Zn1 0.3746 0.3746 0.3746 1
Zn2 0.3746 0.3746 0.8763 1
Zn3 0.3746 0.8763 0.3746 1
Zn4 0.8763 0.3746 0.3746 1
Hg1 0.7500 0.7500 0.7500 1
```

=====

Record 5
Mg3HN | PBE | relaxed

For the energy above the most stable polymorph in this dataset, the calculation gives 0.000 eV/atom. Its space group is No. 155. The calculation puts the total magnetization at 0.0 μB/cell.

```
data_Mg3HN
_chemical_formula_sum 'Mg6 H2 N2'
_symmetry_space_group_name_H-M 'P 1'
_symmetry_Int_Tables_number 1
_cell_length_a 6.6050
_cell_length_b 6.6050
_cell_length_c 6.6050
_cell_angle_alpha 48.15
_cell_angle_beta 48.15
_cell_angle_gamma 48.15
loop_
_symmetry_equiv_pos_as_xyz
'x,y,z'
loop_
_atom_site_label
_atom_site_fract_x
_atom_site_fract_y
_atom_site_fract_z
_atom_site_occupancy
Mg1 0.0766 0.4367 0.7135 1
Mg2 0.2865 0.5633 0.9234 1
Mg3 0.4367 0.7135 0.0766 1
Mg4 0.5633 0.9234 0.2865 1
Mg5 0.7135 0.0766 0.4367 1
Mg6 0.9234 0.2865 0.5633 1
H1 0.0635 0.0635 0.0635 1
H2 0.9365 0.9365 0.9365 1
N1 0.3333 0.3333 0.3333 1
N2 0.6667 0.6667 0.6667 1
```

=====

Record 6
HfGaReBr2 | PBE | relaxed

For the formation energy without anion corrections, the calculation gives 1433 meV per atom. Its space group is No. 123. The calculation puts the total magnetization at 3.3 μB/cell.

```
data_HfGaReBr2
_chemical_formula_sum 'Hf1 Ga1 Re1 Br2'
_symmetry_space_group_name_H-M 'P 1'
_symmetry_Int_Tables_number 1
_cell_length_a 4.9183
_cell_length_b 4.9183
_cell_length_c 5.6729
_cell_angle_alpha 90.00
_cell_angle_beta 90.00
_cell_angle_gamma 90.00
loop_
_symmetry_equiv_pos_as_xyz
'x,y,z'
loop_
_atom_site_label
_atom_site_fract_x
_atom_site_fract_y
_atom_site_fract_z
_atom_site_occupancy
Hf1 0.0000 0.0000 0.0000 1
Ga1 0.0000 0.0000 0.5000 1
Re1 0.5000 0.5000 0.0000 1
Br1 0.0000 0.5000 0.5000 1
Br2 0.5000 0.0000 0.5000 1
```

=====

Record 7
SrLiTc2 | PBE | relaxed

For the energy above the most stable polymorph in this dataset, the calculation gives 0.399 eV/atom. Its space group is No. 65. The calculation puts the total magnetization at 0.0 μB/cell.

```
data_SrLiTc2
_chemical_formula_sum 'Sr2 Li2 Tc4'
_symmetry_space_group_name_H-M 'P 1'
_symmetry_Int_Tables_number 1
_cell_length_a 5.2207
_cell_length_b 10.2285
_cell_length_c 2.7166
_cell_angle_alpha 90.00
_cell_angle_beta 90.00
_cell_angle_gamma 90.00
loop_
_symmetry_equiv_pos_as_xyz
'x,y,z'
loop_
_atom_site_label
_atom_site_fract_x
_atom_site_fract_y
_atom_site_fract_z
_atom_site_occupancy
Sr1 0.0000 0.0000 0.0000 1
Sr2 0.5000 0.5000 0.0000 1
Li1 0.0000 0.5000 0.0000 1
Li2 0.5000 0.0000 0.0000 1
Tc1 0.2500 0.2500 0.5000 1
Tc2 0.2500 0.7500 0.5000 1
Tc3 0.7500 0.2500 0.5000 1
Tc4 0.7500 0.7500 0.5000 1
```

=====

Record 8
TlCdS2 | PBE | relaxed

For the energy above the most stable polymorph in this dataset, the calculation gives 0.065 eV/atom. For the formation energy without anion corrections, the calculation gives -271 meV per atom. Its space group is No. 160. The calculation puts the total magnetization at 0.0 μB/cell.

```
data_TlCdS2
_chemical_formula_sum 'Tl3 Cd3 S6'
_symmetry_space_group_name_H-M 'P 1'
_symmetry_Int_Tables_number 1
_cell_length_a 3.9208
_cell_length_b 3.9208
_cell_length_c 20.8585
_cell_angle_alpha 90.00
_cell_angle_beta 90.00
_cell_angle_gamma 120.00
loop_
_symmetry_equiv_pos_as_xyz
'x,y,z'
loop_
_atom_site_label
_atom_site_fract_x
_atom_site_fract_y
_atom_site_fract_z
_atom_site_occupancy
Tl1 0.0000 0.0000 0.0000 1
Tl2 0.3333 0.6667 0.6667 1
Tl3 0.6667 0.3333 0.3333 1
Cd1 0.0000 0.0000 0.1689 1
Cd2 0.3333 0.6667 0.8356 1
Cd3 0.6667 0.3333 0.5022 1
S1 0.0000 0.0000 0.5742 1
S2 0.0000 0.0000 0.7607 1
S3 0.3333 0.6667 0.2408 1
S4 0.3333 0.6667 0.4274 1
S5 0.6667 0.3333 0.0940 1
S6 0.6667 0.3333 0.9075 1
```